Record 1
The following is a PBE calculation of a relaxed Zn2NiOs crystal, from Alexandria.

The structure belongs to space group Pmmm (No. 47); the cell edges are 2.612, 3.730 and 5.450 Å and the angles 90.00°, 90.00° and 90.00°. The distinct sites, in fractional coordinates, are Zn at (0.000, 0.000, 0.237), Ni at (0.500, 0.500, 0.000) and Os at (0.500, 0.500, 0.500).

As for the total magnetic moment: 0.0 μB per formula unit. For the formation energy, the calculation gives 0.1148 eV per atom. The uncorrected energy is -4.77 eV/atom.


Record 2
The following is a PBE calculation of a relaxed CsSr2SnIr crystal, from Alexandria.

The structure belongs to space group P4/mmm (No. 123); the cell edges are 6.196, 6.196 and 5.039 Å and the angles 90.00°, 90.00° and 90.00°. The distinct sites, in fractional coordinates, are Cs at (0.000, 0.000, 0.000), Sr at (0.000, 0.500, 0.000), Sn at (0.500, 0.500, 0.500) and Ir at (0.000, 0.000, 0.500).

As for the total magnetic moment: 0.0 μB per formula unit. For the formation energy, the calculation gives 1.0702 eV per atom. The uncorrected energy is -2.35 eV/atom. The polymorph energy (0 for the lowest one) is 1258.8 meV/atom.


Record 3
The following is a PBE calculation of a relaxed La2NdIO8 crystal, from Alexandria.

The structure belongs to space group P2/m (No. 10); the cell edges are 5.263, 7.128 and 5.265 Å and the angles 90.00°, 90.94° and 90.00°. The distinct sites, in fractional coordinates, are La at (0.000, 0.246, 0.000), Nd at (0.500, 0.500, 0.500), I at (0.500, 0.000, 0.500), O at (0.188, 0.500, 0.190), O at (0.242, 0.000, 0.245) and O at (0.327, 0.200, 0.675).

The value obtained for the uncorrected formation energy is -2272 meV/atom. As for the total magnetic moment: 0.0 μB per formula unit. The uncorrected energy is -6.93 eV/atom.


Record 4
The following is a PBE calculation of a relaxed CuMoRh2 crystal, from Alexandria.

The structure belongs to space group Cmmm (No. 65); the cell edges are 2.924, 4.489 and 8.806 Å and the angles 90.00°, 90.00° and 90.00°. The distinct sites, in fractional coordinates, are Cu at (0.000, 0.000, 0.000), Mo at (0.000, 0.000, 0.500) and Rh at (0.000, 0.500, 0.247).

As for the total magnetic moment: 0.0 μB per formula unit. For the formation energy, the calculation gives 0.0907 eV per atom. The uncorrected energy is -7.32 eV/atom. The polymorph energy (0 for the lowest one) is 225.5 meV/atom.


Record 5
The following is a PBE calculation of a relaxed Pr2YSn2 crystal, from Alexandria.

The structure belongs to space group C2/m (No. 12); the cell edges are 12.908, 4.809 and 11.362 Å and the angles 90.00°, 116.93° and 90.00°. The distinct sites, in fractional coordinates, are Pr at (0.012, 0.000, 0.181), Pr at (0.183, 0.000, 0.592), Y at (0.215, 0.500, 0.857), Sn at (0.033, 0.500, 0.390) and Sn at (0.128, 0.500, 0.073).

As for the total magnetic moment: 0.0 μB per formula unit. For the formation energy, the calculation gives -0.6466 eV per atom. The uncorrected energy is -5.45 eV/atom. The polymorph energy (0 for the lowest one) is 85.1 meV/atom.


Record 6
The following is a PBE calculation of a relaxed KPtCl6 crystal, from Alexandria.

The structure belongs to space group C2/c (No. 15); the cell edges are 11.100, 6.534 and 12.035 Å and the angles 90.00°, 97.69° and 90.00°. The distinct sites, in fractional coordinates, are K at (0.000, 0.019, 0.250), Pt at (0.250, 0.250, 0.000), Cl at (0.076, 0.398, 0.901), Cl at (0.147, 0.058, 0.511) and Cl at (0.192, 0.358, 0.172).

The value obtained for the uncorrected formation energy is -731 meV/atom. As for the total magnetic moment: 0.2 μB per formula unit. The uncorrected energy is -3.01 eV/atom. The polymorph energy (0 for the lowest one) is 0.0 meV/atom.


Record 7
The following is a PBE calculation of a relaxed Ac2PaS4 crystal, from Alexandria.

The structure belongs to space group I4/mmm (No. 139); the cell edges are 5.175, 5.175 and 14.918 Å and the angles 90.00°, 90.00° and 90.00°. The distinct sites, in fractional coordinates, are Ac at (0.000, 0.000, 0.127), Pa at (0.000, 0.000, 0.500), S at (0.000, 0.000, 0.319) and S at (0.000, 0.500, 0.000).

The value obtained for the uncorrected formation energy is -1620 meV/atom. As for the total magnetic moment: 0.0 μB per formula unit. The uncorrected energy is -6.51 eV/atom.


Record 8
The following is a PBE calculation of a relaxed LiCdRe2 crystal, from Alexandria.

The structure belongs to space group Pm (No. 6); the cell edges are 2.728, 4.189 and 5.761 Å and the angles 90.00°, 103.11° and 90.00°. The distinct sites, in fractional coordinates, are Li at (0.000, 0.000, 0.000), Cd at (0.514, 0.500, 0.781), Re at (0.460, 0.500, 0.272) and Re at (0.873, 0.000, 0.459).

As for the total magnetic moment: 0.0 μB per formula unit. For the formation energy, the calculation gives 0.2704 eV per atom. The uncorrected energy is -6.66 eV/atom.